Record 1
Here is crystalline LiCoPO4 at its relaxed geometry from Alexandria. Energies are from GGA-PBEsol.

The total energy comes out at -197.4 eV per cell. Its distance to the lowest polymorph of the same formula is 0.095 eV/f.u. Its crystal system is orthorhombic. As for the formation energy (no corrections): -1.838 eV per atom.

The structure belongs to space group Cmcm (No. 63); the cell edges are 5.449, 8.168 and 6.031 Å and the angles 90.00°, 90.00° and 90.00°. The inequivalent atoms are Li at (0.000, 0.169, 0.250), Co at (0.000, 0.500, 0.000), P at (0.000, 0.150, 0.750), O at (0.000, 0.256, 0.541) and O at (0.228, 0.032, 0.750).

Record 2
Here is crystalline BaSr2NbSn at its relaxed geometry from Alexandria. Energies are from GGA-PBEsol.

The total energy comes out at -14.6 eV per cell. As for the formation energy from the elements: 1.2690 eV/atom. Its crystal system is tetragonal.

The structure belongs to space group P4/mmm (No. 123); the cell edges are 5.987, 5.987 and 5.121 Å and the angles 90.00°, 90.00° and 90.00°. The inequivalent atoms are Ba at (0.000, 0.000, 0.000), Sr at (0.000, 0.500, 0.000), Nb at (0.000, 0.000, 0.500) and Sn at (0.500, 0.500, 0.500).

Record 3
Here is crystalline CdTeAu at its relaxed geometry from Alexandria. Energies are from GGA-PBEsol.

The total energy comes out at -33.1 eV per cell. Its crystal system is orthorhombic. As for the formation energy (no corrections): 0.125 eV per atom.

The structure belongs to space group Fmm2 (No. 42); the cell edges are 4.327, 4.803 and 12.851 Å and the angles 90.00°, 90.00° and 90.00°. The inequivalent atoms are Cd at (0.000, 0.000, 0.000), Te at (0.000, 0.000, 0.305) and Au at (0.000, 0.000, 0.634).

Record 4
Here is crystalline TiFeSb2I at its relaxed geometry from Alexandria. Energies are from GGA-PBEsol.

The total energy comes out at -24.1 eV per cell. Its crystal system is tetragonal. As for the formation energy (no corrections): 0.804 eV per atom.

The structure belongs to space group P4/mmm (No. 123); the cell edges are 5.206, 5.206 and 5.303 Å and the angles 90.00°, 90.00° and 90.00°. The inequivalent atoms are Ti at (0.000, 0.000, 0.000), Fe at (0.500, 0.500, 0.500), Sb at (0.000, 0.500, 0.000) and I at (0.000, 0.000, 0.500).

Record 5
Here is crystalline In3Hg at its relaxed geometry from Alexandria. Energies are from GGA-PBEsol.

The total energy comes out at -9.5 eV per cell. As for the formation energy from the elements: -0.0008 eV/atom. Its crystal system is orthorhombic.

The structure belongs to space group Pmm2 (No. 25); the cell edges are 3.319, 5.301 and 5.626 Å and the angles 90.00°, 90.00° and 90.00°. The inequivalent atoms are In at (0.000, 0.000, 0.000), In at (0.000, 0.500, 0.342), In at (0.500, 0.500, 0.837) and Hg at (0.500, 0.000, 0.499).

Record 6
Here is crystalline KCd2P at its relaxed geometry from Alexandria. Energies are from GGA-PBEsol.

The total energy comes out at -8.9 eV per cell. As for the formation energy from the elements: 0.1038 eV/atom. Its crystal system is monoclinic.

The structure belongs to space group P2/m (No. 10); the cell edges are 3.040, 5.068 and 5.873 Å and the angles 90.00°, 90.07° and 90.00°. The inequivalent atoms are K at (0.000, 0.000, 0.000), Cd at (0.499, 0.500, 0.741) and P at (0.500, 0.000, 0.500).

Record 7
Here is crystalline Hf2SiO at its relaxed geometry from Alexandria. Energies are from GGA-PBEsol.

The total energy comes out at -140.4 eV per cell. Its crystal system is cubic. As for the formation energy (no corrections): -0.776 eV per atom.

The structure belongs to space group Fm-3m (No. 225); the cell edges are 6.214, 6.214 and 6.214 Å and the angles 90.00°, 90.00° and 90.00°. The inequivalent atoms are Hf at (0.250, 0.250, 0.250), Si at (0.000, 0.000, 0.000) and O at (0.000, 0.000, 0.500).

Record 8
Here is crystalline Rb3C2 at its relaxed geometry from Alexandria. Energies are from GGA-PBEsol.

The total energy comes out at -104.5 eV per cell. As for the formation energy from the elements: 1.8590 eV/atom. Its crystal system is orthorhombic.

The structure belongs to space group Fdd2 (No. 43); the cell edges are 13.203, 13.315 and 9.020 Å and the angles 90.00°, 90.00° and 90.00°. The inequivalent atoms are Rb at (0.000, 0.000, 0.000), Rb at (0.043, 0.338, 0.833) and C at (0.102, 0.291, 0.513).

Record 9
Here is crystalline BaTa2Ir at its relaxed geometry from Alexandria. Energies are from GGA-PBEsol.

The total energy comes out at -35.4 eV per cell. As for the formation energy from the elements: 0.4113 eV/atom. Its distance to the lowest polymorph of the same formula is 0.727 eV/f.u. Its crystal system is tetragonal.

The structure belongs to space group P4/mmm (No. 123); the cell edges are 3.354, 3.354 and 7.965 Å and the angles 90.00°, 90.00° and 90.00°. The inequivalent atoms are Ba at (0.000, 0.000, 0.000), Ta at (0.500, 0.500, 0.337) and Ir at (0.000, 0.000, 0.500).

Record 10
Here is crystalline AuS2BrN at its relaxed geometry from Alexandria. Energies are from GGA-PBEsol.

The total energy comes out at -16.8 eV per cell. Its crystal system is tetragonal. As for the formation energy (no corrections): 1.252 eV per atom.

The structure belongs to space group P4/mmm (No. 123); the cell edges are 5.006, 5.006 and 3.720 Å and the angles 90.00°, 90.00° and 90.00°. The inequivalent atoms are Au at (0.000, 0.000, 0.000), S at (0.000, 0.500, 0.000), Br at (0.500, 0.500, 0.500) and N at (0.000, 0.000, 0.500).

Record 11
Here is crystalline LaZrFe2 at its relaxed geometry from Alexandria. Energies are from GGA-PBEsol.

The total energy comes out at -31.4 eV per cell. As for the formation energy from the elements: 0.2480 eV/atom. Its crystal system is tetragonal.

The structure belongs to space group P4/mmm (No. 123); the cell edges are 4.671, 4.671 and 3.237 Å and the angles 90.00°, 90.00° and 90.00°. The inequivalent atoms are La at (0.000, 0.000, 0.000), Zr at (0.500, 0.500, 0.000) and Fe at (0.000, 0.500, 0.500).

Record 12
Here is crystalline MoP2Au at its relaxed geometry from Alexandria. Energies are from GGA-PBEsol.

The total energy comes out at -100.0 eV per cell. As for the formation energy from the elements: 0.5703 eV/atom. Its distance to the lowest polymorph of the same formula is 1.232 eV/f.u. Its crystal system is cubic.

The structure belongs to space group F-43m (No. 216); the cell edges are 6.233, 6.233 and 6.233 Å and the angles 90.00°, 90.00° and 90.00°. The inequivalent atoms are Mo at (0.000, 0.000, 0.000), P at (0.000, 0.000, 0.500), P at (0.250, 0.250, 0.750) and Au at (0.250, 0.250, 0.250).

Record 13
Here is crystalline MnTl2Cd at its relaxed geometry from Alexandria. Energies are from GGA-PBEsol.

The total energy comes out at -29.2 eV per cell. As for the formation energy from the elements: 0.4032 eV/atom. Its distance to the lowest polymorph of the same formula is 0.000 eV/f.u. Its crystal system is tetragonal.

The structure belongs to space group I-4m2 (No. 119); the cell edges are 4.266, 4.266 and 9.548 Å and the angles 90.00°, 90.00° and 90.00°. The inequivalent atoms are Mn at (0.000, 0.000, 0.000), Tl at (0.000, 0.000, 0.500), Tl at (0.000, 0.500, 0.250) and Cd at (0.000, 0.500, 0.750).

Record 14
Here is crystalline MnSiTe2 at its relaxed geometry from Alexandria. Energies are from GGA-PBEsol.

The total energy comes out at -66.1 eV per cell. Its crystal system is trigonal. As for the formation energy (no corrections): 0.129 eV per atom.

The structure belongs to space group R-3m (No. 166, hexagonal axes); the cell edges are 3.9903, 3.9903 and 19.7071 Å and the angles 90.00°, 90.00° and 120.00°. The inequivalent atoms are Mn at (0.0000, 0.0000, 0.0000), Si at (0.0000, 0.0000, 0.5000) and Te at (0.0000, 0.0000, 0.2508).

For the records above, the corresponding spin magnetization values read 3.00 1.19 0.00 4.00 0.00 0.00 0.00 5.00 0.00 0.00 1.98 0.00 3.86 4.50 μB/f.u..